Material: Al2CdAu
Method: DFT, PBE-GGA
State: relaxed

Cell lengths 8.811, 8.811, 8.811 Å; angles 20.66, 20.66, 20.66 degrees
Sites, in units of the cell vectors:
1 Al 0.993 0.993 0.993
2 Al 0.507 0.507 0.507
3 Cd 0.750 0.750 0.750
4 Au 0.250 0.250 0.250

Values from the calculation:
Space group ... R-3m
DFT total energy ... -3.04 eV per atom

Material: AlCd6Au10
Method: DFT, PBE-GGA
State: relaxed

Cell lengths 5.619, 8.253, 8.253 Å; angles 120.00, 90.00, 90.00 degrees
Sites, in units of the cell vectors:
1 Au 0.204 0.750 0.000
2 Au 0.204 0.000 0.750
3 Au 0.796 0.750 0.750
4 Au 0.500 0.667 0.333
5 Au 0.796 0.250 0.000
6 Au 0.500 0.333 0.667
7 Au 0.000 0.667 0.333
8 Au 0.000 0.333 0.667
9 Au 0.204 0.250 0.250
10 Au 0.796 0.000 0.250
11 Cd 0.724 0.612 0.000
12 Cd 0.724 0.000 0.612
13 Cd 0.276 0.388 0.000
14 Cd 0.276 0.612 0.612
15 Cd 0.276 0.000 0.388
16 Cd 0.724 0.388 0.388
17 Al 0.500 0.000 0.000

Values from the calculation:
Space group ... P-31m
DFT total energy ... -2.60 eV per atom